Below is crystalline BRu2S at its relaxed geometry, with properties calculated at the PBEsol level.

Cell: 5.6049 5.6049 5.6049 Å, 90.00 90.00 90.00°
Last column: nearest neighbours and their distance in Å.
Fractional positions:
B 0.0000 0.0000 0.0000  8 Ru 2.43
B 0.0000 0.5000 0.5000  8 Ru 2.43
B 0.5000 0.0000 0.5000  8 Ru 2.43
B 0.5000 0.5000 0.0000  8 Ru 2.43
Ru 0.2500 0.2500 0.2500  4 S 2.43, 4 B 2.43
Ru 0.2500 0.2500 0.7500  4 B 2.43, 4 S 2.43
Ru 0.2500 0.7500 0.2500  4 S 2.43, 4 B 2.43
Ru 0.2500 0.7500 0.7500  4 S 2.43, 4 B 2.43
Ru 0.7500 0.2500 0.2500  4 S 2.43, 4 B 2.43
Ru 0.7500 0.2500 0.7500  4 S 2.43, 4 B 2.43
Ru 0.7500 0.7500 0.2500  4 S 2.43, 4 B 2.43
Ru 0.7500 0.7500 0.7500  4 S 2.43, 4 B 2.43
S 0.0000 0.0000 0.5000  8 Ru 2.43
S 0.0000 0.5000 0.0000  8 Ru 2.43
S 0.5000 0.0000 0.0000  8 Ru 2.43
S 0.5000 0.5000 0.5000  8 Ru 2.43

Space group   No. 225



Below is crystalline Nb2CuS4 at its relaxed geometry, with properties calculated at the PBEsol level.

Cell: 3.3439 3.3439 12.6405 Å, 90.00 90.00 120.00°
Last column: nearest neighbours and their distance in Å.
Fractional positions:
Nb 0.0000 0.0000 0.0000  6 S 2.46-2.51
Nb 0.3333 0.6667 0.5199  6 S 2.46-2.48
Cu 0.0000 0.0000 0.2244  4 S 2.17-2.29
S 0.0000 0.0000 0.3963  1 Cu 2.17
S 0.0000 0.0000 0.6401  3 Nb 2.46
S 0.3333 0.6667 0.1266  3 Cu 2.29, 3 Nb 2.51
S 0.3333 0.6667 0.8789  3 Nb 2.46

Space group   No. 156



Below is crystalline Fe2TcNi at its relaxed geometry, with properties calculated at the PBEsol level.

Cell: 2.5151 2.5151 7.1181 Å, 90.00 90.00 90.00°
Last column: nearest neighbours and their distance in Å.
Fractional positions:
Fe 0.0000 0.0000 0.0000  8 Fe 2.43-2.52, 4 Tc 2.55
Fe 0.5000 0.5000 0.2332  8 Fe 2.43-2.52, 4 Ni 2.49
Tc 0.5000 0.5000 0.7441  4 Tc 2.52, 4 Fe 2.55, 4 Ni 2.60
Ni 0.0000 0.0000 0.4770  4 Fe 2.49, 4 Ni 2.52, 4 Tc 2.60

Energy of formation   0.063 eV per atom
Space group   No. 99



Below is crystalline La2Sb at its relaxed geometry, with properties calculated at the PBEsol level.

Cell: 8.6532 8.6532 4.3783 Å, 90.00 90.00 120.00°
Last column: nearest neighbours and their distance in Å.
Fractional positions:
La 0.0000 0.2647 0.0000  4 Sb 3.17-3.22, 2 La 3.52
La 0.0000 0.5828 0.5000  5 Sb 3.40-3.61, 2 La 3.52
La 0.2647 0.0000 0.0000  4 Sb 3.17-3.22, 2 La 3.52
La 0.4172 0.4172 0.5000  5 Sb 3.40-3.61, 2 La 3.52
La 0.5828 0.0000 0.5000  5 Sb 3.40-3.61, 2 La 3.52
La 0.7353 0.7353 0.0000  4 Sb 3.17-3.22, 2 La 3.52
Sb 0.0000 0.0000 0.5000  6 La 3.17
Sb 0.3333 0.6667 0.0000  9 La 3.22-3.40
Sb 0.6667 0.3333 0.0000  9 La 3.22-3.40

Space group   No. 189



Below is crystalline CoRe2Ru at its relaxed geometry, with properties calculated at the PBEsol level.

Cell: 5.9820 5.9820 5.9820 Å, 90.00 90.00 90.00°
Last column: nearest neighbours and their distance in Å.
Fractional positions:
Co 0.0000 0.0000 0.0000  4 Re 2.59, 4 Ru 2.59
Co 0.0000 0.5000 0.5000  4 Re 2.59, 4 Ru 2.59
Co 0.5000 0.0000 0.5000  4 Re 2.59, 4 Ru 2.59
Co 0.5000 0.5000 0.0000  4 Re 2.59, 4 Ru 2.59
Re 0.0000 0.0000 0.5000  4 Re 2.59, 4 Ru 2.59
Re 0.0000 0.5000 0.0000  4 Re 2.59, 4 Ru 2.59
Re 0.2500 0.2500 0.2500  4 Co 2.59, 4 Re 2.59
Re 0.2500 0.7500 0.7500  4 Co 2.59, 4 Re 2.59
Re 0.5000 0.0000 0.0000  4 Re 2.59, 4 Ru 2.59
Re 0.5000 0.5000 0.5000  4 Re 2.59, 4 Ru 2.59
Re 0.7500 0.2500 0.7500  4 Co 2.59, 4 Re 2.59
Re 0.7500 0.7500 0.2500  4 Co 2.59, 4 Re 2.59
Ru 0.2500 0.2500 0.7500  4 Co 2.59, 4 Re 2.59
Ru 0.2500 0.7500 0.2500  4 Co 2.59, 4 Re 2.59
Ru 0.7500 0.2500 0.2500  4 Co 2.59, 4 Re 2.59
Ru 0.7500 0.7500 0.7500  4 Re 2.59, 4 Co 2.59

Energy of formation   0.294 eV per atom
Space group   No. 216
ΔE to the lowest computed polymorph   35.1 kJ/mol of atoms



Below is crystalline Tc2NiBr at its relaxed geometry, with properties calculated at the PBEsol level.

Cell: 2.8806 4.5944 8.8125 Å, 90.00 90.00 90.00°
Last column: nearest neighbours and their distance in Å.
Fractional positions:
Tc 0.0000 0.0000 0.2303  2 Ni 2.49, 4 Tc 2.71, 2 Br 2.78
Tc 0.0000 0.0000 0.7697  2 Ni 2.49, 4 Tc 2.71, 2 Br 2.78
Tc 0.5000 0.5000 0.2303  2 Ni 2.49, 4 Tc 2.71, 2 Br 2.78
Tc 0.5000 0.5000 0.7697  2 Ni 2.49, 4 Tc 2.71, 2 Br 2.78
Ni 0.0000 0.5000 0.0000  4 Tc 2.49, 4 Ni 2.71
Ni 0.5000 0.0000 0.0000  4 Tc 2.49, 4 Ni 2.71
Br 0.0000 0.5000 0.5000  6 Br 2.71-2.88, 4 Tc 2.78
Br 0.5000 0.0000 0.5000  6 Br 2.71-2.88, 4 Tc 2.78

Space group   No. 65
ΔE to the lowest computed polymorph   2.5 kJ/mol of atoms



Record order is preserved below.
E: -124.26; -50.47; -35.10; -53.52; -173.58; -53.89 eV per cell